# 1
An optimized crystal structure of Tl5Au3, computed with GGA-PBEsol.

The structure in POSCAR format:
```
Tl5Au3
1.0
4.101 -4.976 0.000
4.101 4.976 0.000
0.000 0.000 4.620
Tl Au
5 3
direct
0.000 0.000 0.000 Tl
0.000 0.500 0.000 Tl
0.287 0.287 0.500 Tl
0.500 0.000 0.000 Tl
0.713 0.713 0.500 Tl
0.227 0.773 0.500 Au
0.500 0.500 0.000 Au
0.773 0.227 0.500 Au
```

Results
As for the space group: No. 65. The formation energy is 0.6 eV/f.u.



# 2
An optimized crystal structure of Cu2RhSe, computed with GGA-PBEsol.

The structure in POSCAR format:
```
Cu2RhSe
1.0
2.753 0.000 0.000
0.000 2.753 0.000
0.000 0.000 7.406
Cu Rh Se
2 1 1
direct
0.000 0.000 0.232 Cu
0.000 0.000 0.768 Cu
0.500 0.500 0.000 Rh
0.500 0.500 0.500 Se
```

Results
As for the space group: No. 123. The uncorrected formation energy comes out at 0.294 eV/atom.



# 3
An optimized crystal structure of Zr2Os2W, computed with GGA-PBEsol.

The structure in POSCAR format:
```
Zr2Os2W
1.0
-2.080 2.080 5.578
2.080 -2.080 5.578
2.080 2.080 -5.578
Zr Os W
2 2 1
direct
0.250 0.750 0.500 Zr
0.750 0.250 0.500 Zr
0.105 0.105 0.000 Os
0.895 0.895 0.000 Os
0.500 0.500 0.000 W
```

Results
As for the space group: No. 139. The formation energy is 4.3 eV/f.u.



# 4
An optimized crystal structure of ZrBeZn2, computed with GGA-PBEsol.

The structure in POSCAR format:
```
ZrBeZn2
1.0
2.799 0.000 0.000
0.000 2.983 0.000
0.000 0.000 6.799
Zr Be Zn
1 1 2
direct
0.000 0.000 0.000 Zr
0.000 0.000 0.500 Be
0.500 0.500 0.302 Zn
0.500 0.500 0.698 Zn
```

Results
As for the space group: No. 47. The formation energy is -0.4 eV/f.u.



# 5
An optimized crystal structure of TaTlCr2, computed with GGA-PBEsol.

The structure in POSCAR format:
```
TaTlCr2
1.0
1.583 -2.356 0.000
1.583 2.356 0.000
0.000 0.000 8.507
Ta Tl Cr
1 1 2
direct
0.000 0.000 0.000 Ta
0.000 0.000 0.500 Tl
0.500 0.500 0.232 Cr
0.500 0.500 0.768 Cr
```

Results
As for the space group: No. 65. The formation energy is 2.4 eV/f.u.



# 6
An optimized crystal structure of Al2O3, computed with GGA-PBEsol.

The structure in POSCAR format:
```
Al2O3
1.0
4.844 -2.820 0.000
4.844 2.820 0.000
-0.153 0.000 13.572
Al O
16 24
direct
0.000 0.500 0.000 Al
0.003 0.003 0.122 Al
0.166 0.677 0.660 Al
0.167 0.167 0.661 Al
0.323 0.834 0.340 Al
0.324 0.324 0.207 Al
0.333 0.333 0.453 Al
0.348 0.348 0.840 Al
0.500 0.000 0.000 Al
0.652 0.652 0.160 Al
0.667 0.667 0.547 Al
0.676 0.676 0.793 Al
0.677 0.166 0.660 Al
0.833 0.833 0.339 Al
0.834 0.323 0.340 Al
0.997 0.997 0.878 Al
0.004 0.004 0.742 O
0.033 0.489 0.746 O
0.156 0.654 0.914 O
0.163 0.163 0.406 O
0.163 0.668 0.406 O
0.177 0.177 0.916 O
0.321 0.321 0.079 O
0.332 0.837 0.594 O
0.336 0.336 0.587 O
0.346 0.844 0.086 O
0.489 0.033 0.746 O
0.495 0.495 0.747 O
0.505 0.505 0.253 O
0.511 0.967 0.254 O
0.654 0.156 0.914 O
0.664 0.664 0.413 O
0.668 0.163 0.406 O
0.679 0.679 0.921 O
0.823 0.823 0.084 O
0.837 0.332 0.594 O
0.837 0.837 0.594 O
0.844 0.346 0.086 O
0.967 0.511 0.254 O
0.996 0.996 0.258 O
```

Results
As for the space group: No. 12. The uncorrected formation energy comes out at -3.017 eV/atom.



# 7
An optimized crystal structure of NdSiNi4, computed with GGA-PBEsol.

The structure in POSCAR format:
```
NdSiNi4
1.0
2.544 -4.084 0.000
2.544 4.084 0.000
0.000 0.000 3.915
Nd Si Ni
1 1 4
direct
0.000 0.000 0.000 Nd
0.500 0.500 0.500 Si
0.000 0.500 0.500 Ni
0.341 0.659 0.000 Ni
0.500 0.000 0.500 Ni
0.659 0.341 0.000 Ni
```

Results
As for the space group: No. 65. The uncorrected formation energy comes out at -0.580 eV/atom.



# 8
An optimized crystal structure of ZrScSi2, computed with GGA-PBEsol.

The structure in POSCAR format:
```
ZrScSi2
1.0
2.946 0.000 0.000
0.000 2.946 0.000
0.000 0.000 7.845
Zr Sc Si
1 1 2
direct
0.000 0.000 0.000 Zr
0.000 0.000 0.500 Sc
0.500 0.500 0.251 Si
0.500 0.500 0.749 Si
```

Results
As for the space group: No. 123. The uncorrected formation energy comes out at -0.597 eV/atom.



# 9
An optimized crystal structure of CoCuRh2, computed with GGA-PBEsol.

The structure in POSCAR format:
```
CoCuRh2
1.0
1.307 0.755 8.372
-1.307 0.755 8.372
0.000 -1.510 8.372
Co Cu Rh
1 1 2
direct
0.000 0.000 0.000 Co
0.746 0.746 0.746 Cu
0.253 0.253 0.253 Rh
0.498 0.498 0.498 Rh
```

Results
As for the space group: No. 160. The formation energy is 0.4 eV/f.u.



# 10
An optimized crystal structure of YZrAu2, computed with GGA-PBEsol.

The structure in POSCAR format:
```
YZrAu2
1.0
3.539 0.000 0.000
0.000 4.503 0.000
-1.366 0.000 5.321
Y Zr Au
1 1 2
direct
0.000 0.000 0.000 Y
0.746 0.500 0.431 Zr
0.303 0.000 0.537 Au
0.454 0.500 0.881 Au
```

Results
As for the space group: No. 6. The formation energy is -2.7 eV/f.u.



# 11
An optimized crystal structure of Er2InAg, computed with GGA-PBEsol.

The structure in POSCAR format:
```
Er2InAg
1.0
3.528 0.000 0.000
0.000 3.528 0.000
0.000 0.000 7.514
Er In Ag
2 1 1
direct
0.000 0.000 0.236 Er
0.000 0.000 0.764 Er
0.500 0.500 0.500 In
0.500 0.500 0.000 Ag
```

Results
As for the space group: No. 123. The formation energy is -1.7 eV/f.u.



# 12
An optimized crystal structure of Co2PbBr, computed with GGA-PBEsol.

The structure in POSCAR format:
```
Co2PbBr
1.0
4.640 -1.637 0.000
4.640 1.637 0.000
-4.494 0.000 5.484
Co Pb Br
2 1 1
direct
0.164 0.164 0.365 Co
0.836 0.836 0.635 Co
0.500 0.500 0.500 Pb
0.500 0.500 0.000 Br
```

Results
As for the space group: No. 12. The uncorrected formation energy comes out at 0.405 eV/atom.



# 13
An optimized crystal structure of Ca5Ge3H, computed with GGA-PBEsol.

The structure in POSCAR format:
```
Ca5Ge3H
1.0
-3.826 3.826 7.139
3.826 -3.826 7.139
3.826 3.826 -7.139
Ca Ge H
10 6 2
direct
0.000 0.000 0.000 Ca
0.018 0.518 0.834 Ca
0.183 0.018 0.500 Ca
0.317 0.817 0.834 Ca
0.482 0.317 0.500 Ca
0.500 0.500 0.000 Ca
0.518 0.683 0.500 Ca
0.683 0.183 0.166 Ca
0.817 0.982 0.500 Ca
0.982 0.482 0.166 Ca
0.117 0.383 0.500 Ge
0.250 0.250 0.000 Ge
0.383 0.883 0.266 Ge
0.617 0.117 0.734 Ge
0.750 0.750 0.000 Ge
0.883 0.617 0.500 Ge
0.250 0.750 0.500 H
0.750 0.250 0.500 H
```

Results
As for the space group: No. 140. The calculation puts the raw total energy at -3.863 eV per atom.



# 14
An optimized crystal structure of MnCoRu, computed with GGA-PBEsol.

The structure in POSCAR format:
```
MnCoRu
1.0
-1.415 1.415 4.410
1.415 -1.415 4.410
1.415 1.415 -4.410
Mn Co Ru
1 1 1
direct
0.000 0.000 0.000 Mn
0.351 0.351 0.000 Co
0.666 0.666 0.000 Ru
```

Results
As for the space group: No. 107. The formation energy is 0.6 eV/f.u.



# 15
An optimized crystal structure of NbRh2, computed with GGA-PBEsol.

The structure in POSCAR format:
```
NbRh2
1.0
4.759 0.000 0.000
0.000 2.793 0.000
-1.731 0.000 6.669
Nb Rh
2 4
direct
0.000 0.000 0.000 Nb
0.249 0.000 0.640 Nb
0.308 0.500 0.319 Rh
0.505 0.500 0.982 Rh
0.757 0.500 0.654 Rh
0.793 0.000 0.322 Rh
```

Results
As for the space group: No. 6. The formation energy is -1.1 eV/f.u.



# 16
An optimized crystal structure of CaAlCo, computed with GGA-PBEsol.

The structure in POSCAR format:
```
CaAlCo
1.0
0.000 3.241 3.241
3.241 0.000 3.241
3.241 3.241 0.000
Ca Al Co
1 1 1
direct
0.000 0.000 0.000 Ca
0.750 0.750 0.750 Al
0.250 0.250 0.250 Co
```

Results
As for the space group: No. 216. The formation energy is 3.3 eV/f.u.



# 17
An optimized crystal structure of Nb3IrO, computed with GGA-PBEsol.

The structure in POSCAR format:
```
Nb3IrO
1.0
4.180 0.000 0.000
0.000 4.180 0.000
0.000 0.000 4.180
Nb Ir O
3 1 1
direct
0.000 0.000 0.500 Nb
0.000 0.500 0.000 Nb
0.500 0.000 0.000 Nb
0.500 0.500 0.500 Ir
0.000 0.000 0.000 O
```

Results
As for the space group: No. 221. The uncorrected formation energy comes out at -0.826 eV/atom.



# 18
An optimized crystal structure of Sr2GeH, computed with GGA-PBEsol.

The structure in POSCAR format:
```
Sr2GeH
1.0
-3.643 3.643 3.905
3.643 -3.643 3.905
3.643 3.643 -3.905
Sr Ge H
4 2 2
direct
0.054 0.125 0.429 Sr
0.375 0.946 0.071 Sr
0.696 0.625 0.571 Sr
0.875 0.304 0.929 Sr
0.250 0.750 0.500 Ge
0.500 0.500 0.000 Ge
0.000 0.000 0.000 H
0.750 0.250 0.500 H
```

Results
As for the space group: No. 122. The calculation puts the raw total energy at -3.278 eV per atom.



# 19
An optimized crystal structure of Re6Ni7, computed with GGA-PBEsol.

The structure in POSCAR format:
```
Re6Ni7
1.0
2.316 1.337 8.445
-2.316 1.337 8.445
0.000 -2.675 8.445
Re Ni
6 7
direct
0.049 0.049 0.049 Re
0.151 0.151 0.151 Re
0.333 0.333 0.333 Re
0.667 0.667 0.667 Re
0.849 0.849 0.849 Re
0.951 0.951 0.951 Re
0.087 0.592 0.592 Ni
0.408 0.408 0.913 Ni
0.408 0.913 0.408 Ni
0.500 0.500 0.500 Ni
0.592 0.087 0.592 Ni
0.592 0.592 0.087 Ni
0.913 0.408 0.408 Ni
```

Results
As for the space group: No. 166. The formation energy is 0.0 eV/f.u.



# 20
An optimized crystal structure of AgGeP3, computed with GGA-PBEsol.

The structure in POSCAR format:
```
AgGeP3
1.0
4.639 0.000 0.000
0.000 4.639 0.000
0.000 0.000 4.639
Ag Ge P
1 1 3
direct
0.000 0.000 0.000 Ag
0.500 0.500 0.500 Ge
0.000 0.500 0.500 P
0.500 0.000 0.500 P
0.500 0.500 0.000 P
```

Results
As for the space group: No. 221. The formation energy is 5.3 eV/f.u.